1.
Compound: Na3Cu2F9
Source: the Alexandria database
Functional: GGA-PBE
Structure: optimized geometry

The calculation puts the uncorrected formation energy at -26.9 eV per formula unit.

abc: 9.4839 9.4839 13.7529
angles: 90.00 90.00 120.00
Space group R-3c (No. 167, hexagonal axes)
Symmetry-distinct sites (fractional):
Na (0.0000, 0.3584, 0.2500) [18 per cell]
Cu (0.0000, 0.0000, 0.1536) [12 per cell]
F (0.0000, 0.1579, 0.7500) [18 per cell]
F (0.0017, 0.1733, 0.4115) [36 per cell]

---

2.
Compound: SrNb2TeO8
Source: the Alexandria database
Functional: GGA-PBE
Structure: optimized geometry

The calculation puts the uncorrected formation energy at -26.4 eV per formula unit.

abc: 8.0716 6.5380 7.2294
angles: 90.00 98.69 90.00
Space group C2/m (No. 12)
Symmetry-distinct sites (fractional):
Sr (0.0000, 0.0000, 0.0000) [2 per cell]
Nb (0.0676, 0.5000, 0.2367) [4 per cell]
Te (0.0000, 0.0000, 0.5000) [2 per cell]
O (0.0160, 0.2269, 0.7256) [8 per cell]
O (0.1703, 0.5000, 0.0236) [4 per cell]
O (0.2326, 0.5000, 0.4488) [4 per cell]

---

3.
Compound: Tl5Mo2Cl12
Source: the Alexandria database
Functional: GGA-PBE
Structure: optimized geometry

The calculation puts the uncorrected formation energy at -17.1 eV per formula unit.

abc: 17.3148 7.5467 10.2482
angles: 90.00 105.16 90.00
Space group C2/m (No. 12)
Symmetry-distinct sites (fractional):
Tl (0.0000, 0.0000, 0.0000) [2 per cell]
Tl (0.1924, 0.5000, 0.3018) [4 per cell]
Tl (0.2043, 0.5000, 0.8679) [4 per cell]
Mo (0.0000, 0.2502, 0.5000) [4 per cell]
Cl (0.0013, 0.5000, 0.6597) [4 per cell]
Cl (0.0016, 0.0000, 0.6588) [4 per cell]
Cl (0.1417, 0.2522, 0.5588) [8 per cell]
Cl (0.1511, 0.2517, 0.0739) [8 per cell]

---

4.
Compound: Cu2NiHPd
Source: the Alexandria database
Functional: GGA-PBE
Structure: optimized geometry

For the offset from the most stable computed form, the calculation gives 0.000 eV/atom.

abc: 3.9126 3.9126 3.4380
angles: 90.00 90.00 90.00
Space group P4/mmm (No. 123)
Symmetry-distinct sites (fractional):
Cu (0.0000, 0.5000, 0.0000) [2 per cell]
Ni (0.0000, 0.0000, 0.5000) [1 per cell]
H (0.0000, 0.0000, 0.0000) [1 per cell]
Pd (0.5000, 0.5000, 0.5000) [1 per cell]

---

Quick rundown of E, same order as above: -3.992, -7.584, -3.829, -4.501 eV/atom